Record 1
Computed, not measured: an optimized crystal structure of AuS2Cl2 at the PBE level of DFT.

The total energy comes out at -3.22 eV/atom.

The structure belongs to space group P-1 (No. 2); the cell edges are 6.3684, 7.1994 and 8.2083 Å and the angles 103.16°, 110.59° and 104.31°. Symmetry generates all atoms from Au at (0.1811, 0.3382, 0.0099), S at (0.0687, 0.0762, 0.4193), S at (0.1962, 0.0364, 0.8301), Cl at (0.1736, 0.6580, 0.2115) and Cl at (0.4722, 0.6513, 0.7617).

---

Record 2
Computed, not measured: an optimized crystal structure of AuS6Cl3 at the PBE level of DFT.

The total energy comes out at -3.31 eV/atom.

The structure belongs to space group P1 (No. 1); the cell edges are 3.7823, 9.1398 and 9.8722 Å and the angles 83.86°, 81.16° and 78.98°. Symmetry generates all atoms from Au at (0.0000, 0.0000, 0.0000), S at (0.1491, 0.0318, 0.3888), S at (0.2496, 0.3403, 0.5602), S at (0.3809, 0.4334, 0.9636), S at (0.5791, 0.1894, 0.6604), S at (0.7373, 0.5610, 0.9557), S at (0.7766, 0.9875, 0.5356), Cl at (0.1533, 0.8605, 0.8159), Cl at (0.5278, 0.4944, 0.4336) and Cl at (0.8327, 0.1491, 0.1788).

---

Record 3
Computed, not measured: an optimized crystal structure of ScAuSCl2 at the PBE level of DFT.

The total energy comes out at -3.61 eV/atom.

The structure belongs to space group P4/mmm (No. 123); the cell edges are 4.9494, 4.9494 and 4.9903 Å and the angles 90.00°, 90.00° and 90.00°. Symmetry generates all atoms from Sc at (0.0000, 0.0000, 0.0000), Au at (0.5000, 0.5000, 0.5000), S at (0.5000, 0.5000, 0.0000) and Cl at (0.0000, 0.5000, 0.5000).

---

Record 4
Computed, not measured: an optimized crystal structure of ScAuSCl2 at the PBE level of DFT.

The total energy comes out at -4.30 eV/atom.

The structure belongs to space group P4/mmm (No. 123); the cell edges are 4.8595, 4.8595 and 5.1558 Å and the angles 90.00°, 90.00° and 90.00°. Symmetry generates all atoms from Sc at (0.0000, 0.0000, 0.0000), Au at (0.5000, 0.5000, 0.5000), S at (0.0000, 0.0000, 0.5000) and Cl at (0.0000, 0.5000, 0.0000).

---

Record 5
Computed, not measured: an optimized crystal structure of AuSeSCl2 at the PBE level of DFT.

The total energy comes out at -2.43 eV/atom.

The structure belongs to space group P4/mmm (No. 123); the cell edges are 4.8469, 4.8469 and 5.0821 Å and the angles 90.00°, 90.00° and 90.00°. Symmetry generates all atoms from Au at (0.0000, 0.0000, 0.0000), Se at (0.5000, 0.5000, 0.5000), S at (0.5000, 0.5000, 0.0000) and Cl at (0.0000, 0.5000, 0.5000).

---

Record 6
Computed, not measured: an optimized crystal structure of AuSeS2Cl at the PBE level of DFT.

The total energy comes out at -2.65 eV/atom.

The structure belongs to space group P4/mmm (No. 123); the cell edges are 4.8755, 4.8755 and 4.8097 Å and the angles 90.00°, 90.00° and 90.00°. Symmetry generates all atoms from Au at (0.0000, 0.0000, 0.0000), Se at (0.5000, 0.5000, 0.5000), S at (0.0000, 0.5000, 0.5000) and Cl at (0.5000, 0.5000, 0.0000).